Record 1
DFT (SCAN) results for a PBEsol-optimized structure of TaZnCl3.

abc: 4.717 4.717 4.717
angles: 90.00 90.00 90.00
Positions (direct):
Ta1 0.000 0.000 0.000
Zn1 0.500 0.500 0.500
Cl1 0.000 0.500 0.500
Cl2 0.500 0.000 0.500
Cl3 0.500 0.500 0.000

Results
ρ = 5.58 g cm⁻³
DFT total energy = -102.4 eV for the cell shown
DOS at the Fermi energy = 2.928 states/eV/f.u.
energy relative to the elements, uncorrected = 0.3226 eV per atom
size of the total moment = 3.8 μB per cell
offset from the most stable computed form = 763 meV per atom

=====

Record 2
DFT (SCAN) results for a PBEsol-optimized structure of FeIBr2.

abc: 5.134 5.134 5.134
angles: 60.00 60.00 60.00
Positions (direct):
Fe1 0.000 0.000 0.000
I1 0.500 0.500 0.500
Br1 0.250 0.250 0.250
Br2 0.750 0.750 0.750

Results
ρ = 5.95 g cm⁻³
DFT total energy = -91.3 eV for the cell shown
DOS at the Fermi energy = 2.851 states/eV/f.u.
energy relative to the elements, uncorrected = 0.6285 eV per atom
size of the total moment = 5.0 μB per cell

=====

Record 3
DFT (SCAN) results for a PBEsol-optimized structure of K2HgTe2.

abc: 9.989 9.989 9.989
angles: 154.14 154.14 36.90
Positions (direct):
K1 0.110 0.110 0.000
K2 0.890 0.890 0.000
Hg1 0.500 0.500 0.000
Te1 0.250 0.750 0.500
Te2 0.750 0.250 0.500

Results
ρ = 4.68 g cm⁻³
DFT total energy = -161.8 eV for the cell shown
DOS at the Fermi energy = 2.318 states/eV/f.u.
energy relative to the elements, uncorrected = -0.4942 eV per atom
size of the total moment = 0.0 μB per cell

=====

Record 4
DFT (SCAN) results for a PBEsol-optimized structure of SrTlCd.

abc: 5.075 5.075 3.825
angles: 90.00 90.00 120.00
Positions (direct):
Sr1 0.000 0.000 0.000
Tl1 0.333 0.667 0.500
Cd1 0.667 0.333 0.500

Results
ρ = 7.87 g cm⁻³
DFT total energy = -126.5 eV for the cell shown
DOS at the Fermi energy = 0.940 states/eV/f.u.
energy of formation from the pure elements = -0.497 eV per atom
size of the total moment = 0.0 μB per cell

=====

Record 5
DFT (SCAN) results for a PBEsol-optimized structure of SrTlAu2.

abc: 5.692 5.692 5.692
angles: 138.54 127.78 68.77
Positions (direct):
Sr1 0.000 0.000 0.000
Tl1 0.278 0.778 0.500
Au1 0.516 0.516 0.000
Au2 0.728 0.228 0.500

Results
ρ = 12.01 g cm⁻³
DFT total energy = -234.9 eV for the cell shown
DOS at the Fermi energy = 1.634 states/eV/f.u.
energy of formation from the pure elements = -0.499 eV per atom
size of the total moment = 0.0 μB per cell

=====

Record 6
DFT (SCAN) results for a PBEsol-optimized structure of CrCo6Si.

abc: 5.934 5.934 9.702
angles: 90.00 90.00 109.58
Positions (direct):
Cr1 0.000 0.000 0.246
Cr2 0.000 0.000 0.754
Cr3 0.246 0.754 0.500
Cr4 0.754 0.246 0.500
Co1 0.000 0.000 0.000
Co2 0.000 0.000 0.500
Co3 0.123 0.374 0.376
Co4 0.123 0.374 0.624
Co5 0.124 0.372 0.126
Co6 0.124 0.372 0.874
Co7 0.249 0.751 0.253
Co8 0.249 0.751 0.747
Co9 0.372 0.124 0.126
Co10 0.372 0.124 0.874
Co11 0.374 0.123 0.376
Co12 0.374 0.123 0.624
Co13 0.500 0.500 0.000
Co14 0.500 0.500 0.500
Co15 0.626 0.877 0.376
Co16 0.626 0.877 0.624
Co17 0.628 0.876 0.126
Co18 0.628 0.876 0.874
Co19 0.751 0.249 0.253
Co20 0.751 0.249 0.747
Co21 0.876 0.628 0.126
Co22 0.876 0.628 0.874
Co23 0.877 0.626 0.376
Co24 0.877 0.626 0.624
Si1 0.247 0.753 0.000
Si2 0.500 0.500 0.249
Si3 0.500 0.500 0.751
Si4 0.753 0.247 0.000

Results
ρ = 8.95 g cm⁻³
DFT total energy = -527.8 eV for the cell shown
DOS at the Fermi energy = 4.103 states/eV/f.u.
energy relative to the elements, uncorrected = 0.0343 eV per atom
size of the total moment = 0.0 μB per cell